La2MgAlTc: relaxed, PBE.

```
La2MgAlTc
1.0
-2.1157 -4.2021 -2.6788
4.9008 -2.2820 -0.2911
-0.8379 -2.3554 4.3566
Mg La Tc Al
1 2 1 1
Cartesian
0.9736 -4.4197 0.6933
-1.0579 -2.1010 -1.3394
2.4504 -1.1410 -0.1456
0.0000 0.0000 0.0000
-0.4190 -1.1777 2.1783
```

Crystal system ... tetragonal
N(E_F) ... 3.5 states/eV/cell
Energy relative to the elements ... -0.2 eV/f.u.
ρ ... 4.8 Mg/m³



LaMg2AlTe: relaxed, PBE.

```
LaMg2AlTe
1.0
5.3397 0.0000 0.0000
0.0000 5.6593 0.0000
0.0000 0.0000 5.3397
Te Mg La Al
1 2 1 1
Cartesian
0.0000 0.0000 0.0000
0.0000 0.0000 2.6698
2.6698 0.0000 0.0000
2.6698 2.8297 2.6698
0.0000 2.8297 0.0000
```

Crystal system ... tetragonal
N(E_F) ... 4.3 states/eV/cell
ρ ... 3.5 Mg/m³
Formation energy (no corrections) ... 0.32 eV per atom



LaThMgAl: relaxed, PBE.

```
LaThMgAl
1.0
-4.1756 -1.3443 3.1380
-3.3366 -3.9625 -1.5022
0.0225 -4.6956 2.6535
Al Mg Th La
1 1 1 1
Cartesian
-3.7448 -5.0012 2.1447
0.0000 0.0000 0.0000
-1.8724 -2.5006 1.0723
-5.6172 -7.5018 3.2170
```

Crystal system ... cubic
N(E_F) ... 2.4 states/eV/cell
Energy relative to the elements ... -0.6 eV/f.u.
ρ ... 6.3 Mg/m³



LaYMgAl: relaxed, PBE.

```
LaYMgAl
1.0
-2.6673 -0.5181 4.6032
-4.5690 -2.7704 0.1442
-0.1759 -4.7380 2.4683
La Y Al Mg
1 1 1 1
Cartesian
-1.8530 -2.0066 1.8039
-5.5591 -6.0199 5.4117
-3.7061 -4.0132 3.6078
0.0000 0.0000 0.0000
```

Crystal system ... cubic
N(E_F) ... 2.9 states/eV/cell
Energy relative to the elements ... -1.1 eV/f.u.
ρ ... 4.3 Mg/m³



LaMgAlZn: relaxed, PBE.

```
LaMgAlZn
1.0
-5.0075 -0.7363 -0.0770
-2.0629 -3.0026 -3.5145
-1.9179 -4.4946 1.3204
Zn Al La Mg
1 1 1 1
Cartesian
0.0000 0.0000 0.0000
-4.4941 -4.1168 -1.1356
-6.7412 -6.1752 -1.7034
-2.2471 -2.0584 -0.5678
```

Crystal system ... cubic
N(E_F) ... 1.3 states/eV/cell
Energy relative to the elements ... -1.1 eV/f.u.
ρ ... 4.6 Mg/m³



LaMgAlZn2: relaxed, PBE.

```
LaMgAlZn2
1.0
4.3941 0.0000 0.0000
0.0000 4.3941 0.0000
-2.1970 -2.1970 5.5677
Al La Mg Zn
1 1 1 2
Cartesian
2.1970 0.0000 2.7838
0.0000 0.0000 0.0000
0.0000 2.1970 2.7838
2.1970 2.1970 1.2446
0.0000 0.0000 4.3231
```

Crystal system ... tetragonal
N(E_F) ... 3.8 states/eV/cell
Energy relative to the elements ... -1.7 eV/f.u.
ρ ... 5.0 Mg/m³



LaMg2AlZn2: relaxed, PBE.

```
LaMg2AlZn2
1.0
-3.0943 -3.1533 0.9431
3.0909 -3.2288 -0.6542
1.9178 3.5252 7.2596
Mg Al Zn La
2 1 2 1
Cartesian
-0.5891 -1.4095 4.1736
2.5035 -1.4473 3.3749
0.0000 0.0000 0.0000
0.5865 0.1023 2.2662
1.3280 -2.9591 5.2823
-0.0017 -3.1910 0.1445
```

Crystal system ... tetragonal
N(E_F) ... 2.5 states/eV/cell
Energy relative to the elements ... 0.5 eV/f.u.
ρ ... 3.7 Mg/m³



LaMgZrAl: relaxed, PBE.

```
LaMgZrAl
1.0
-4.4566 -1.2372 2.2724
-4.1236 -1.1484 -2.8693
-1.7332 -4.8491 -0.1959
Mg Zr La Al
1 1 1 1
Cartesian
0.0000 0.0000 0.0000
-7.7350 -5.4260 -0.5946
-2.5783 -1.8087 -0.1982
-5.1567 -3.6173 -0.3964
```

Crystal system ... cubic
N(E_F) ... 2.2 states/eV/cell
Energy relative to the elements ... -0.5 eV/f.u.
ρ ... 4.8 Mg/m³



LaMn3Al: relaxed, PBE.

```
LaMn3Al
1.0
4.7416 0.0000 0.0000
0.0000 4.7416 0.0000
0.0000 0.0000 4.7416
La Mn Al
1 3 1
Cartesian
0.0000 0.0000 0.0000
2.3708 0.0000 0.0000
0.0000 0.0000 2.3708
0.0000 2.3708 0.0000
2.3708 2.3708 2.3708
```

Crystal system ... cubic
N(E_F) ... 4.3 states/eV/cell
Energy relative to the elements ... 7.9 eV/f.u.
ρ ... 5.2 Mg/m³



LaMnAl: relaxed, PBE.

```
LaMnAl
1.0
4.5853 0.0000 0.0000
-2.2926 3.9709 0.0000
0.0000 0.0000 3.9943
Mn La Al
1 1 1
Cartesian
0.0000 2.6473 3.3291
2.2926 1.3236 1.3309
0.0000 0.0000 3.3283
```

Crystal system ... hexagonal
N(E_F) ... 1.9 states/eV/cell
Energy relative to the elements ... -0.1 eV/f.u.
ρ ... 5.0 Mg/m³



LaMnAl2: relaxed, PBE.

```
LaMnAl2
1.0
-1.1975 0.2771 9.8725
0.8789 -1.9469 9.7167
1.7671 0.9673 9.7427
Mn Al La
1 2 1
Cartesian
1.0865 -0.5269 21.9989
0.0231 -0.0112 0.4671
0.7013 -0.3401 14.1989
0.3622 -0.1756 7.3330
```

Crystal system ... trigonal
N(E_F) ... 4.0 states/eV/cell
Energy relative to the elements ... 0.7 eV/f.u.
ρ ... 5.2 Mg/m³



LaMnAl2: relaxed, PBE.

```
LaMnAl2
1.0
-2.4582 -5.3403 -1.1210
3.3416 -4.5998 -1.8692
-1.3388 4.0885 4.1605
La Al Mn
1 2 1
Cartesian
-1.6777 -3.1109 0.7722
0.4107 -4.6213 -1.3902
0.0310 -0.3487 -0.1049
1.2222 -2.7407 0.3981
```

Crystal system ... orthorhombic
N(E_F) ... 2.3 states/eV/cell
Energy relative to the elements ... 0.1 eV/f.u.
ρ ... 5.1 Mg/m³



Please write out number 9 again, unchanged.
LaMn3Al: relaxed, PBE.

```
LaMn3Al
1.0
4.7416 0.0000 0.0000
0.0000 4.7416 0.0000
0.0000 0.0000 4.7416
La Mn Al
1 3 1
Cartesian
0.0000 0.0000 0.0000
2.3708 0.0000 0.0000
0.0000 0.0000 2.3708
0.0000 2.3708 0.0000
2.3708 2.3708 2.3708
```

Crystal system ... cubic
N(E_F) ... 4.3 states/eV/cell
Energy relative to the elements ... 7.9 eV/f.u.
ρ ... 5.2 Mg/m³



> The lowest ρ belongs to which entry?

LaMg2AlTe